Arrangement P

Entry from the Alexandria database: a relaxed structure of CaLaW2 (PBE).

a b c (Å): 4.0834 4.0834 5.2027
angles (deg): 90.00 90.00 90.00
With the nearest neighbours (Å) after each atom.
Element x y z (fractional)
Ca: 0.0000 0.0000 0.0000  4 La 2.89
La: 0.5000 0.5000 0.0000  4 Ca 2.89
W: 0.0000 0.5000 0.5000  4 W 2.89
W: 0.5000 0.0000 0.5000  4 W 2.89

Computed properties:
V ... 86.8 Å³/f.u.
Crystal system ... tetragonal
Space-group type ... P4/mmm, No. 123
Spin magnetization ... 0.00 μB per formula unit

---

Arrangement Q

Entry from the Alexandria database: a relaxed structure of CaLaW2 (PBE).

a b c (Å): 2.8417 2.8417 10.6837
angles (deg): 90.00 90.00 90.00
With the nearest neighbours (Å) after each atom.
Element x y z (fractional)
Ca: 0.0000 0.0000 0.0000  4 Ca 2.84
La: 0.0000 0.0000 0.5000  4 La 2.84
W: 0.5000 0.5000 0.2446  4 W 2.84
W: 0.5000 0.5000 0.7554  4 W 2.84

Computed properties:
V ... 86.3 Å³/f.u.
Crystal system ... tetragonal
Space-group type ... P4/mmm, No. 123
Spin magnetization ... 0.00 μB per formula unit

---

Which structure is most stable? arrangement Q, by 0.049 eV/atom over the runner-up.

---

Arrangement P

Entry from the Alexandria database: a relaxed structure of CaLaW2 (PBE).

a b c (Å): 4.4666 4.4666 8.0446
angles (deg): 93.86 93.86 42.60
With the nearest neighbours (Å) after each atom.
Element x y z (fractional)
Ca: 0.0000 0.0000 0.0000  3 W 2.96-3.19, 2 Ca 3.25
La: 0.2228 0.2228 0.6073  3 W 2.97-3.19, 2 La 3.25
W: 0.4734 0.4734 0.3633  3 W 2.56-2.60
W: 0.7496 0.7496 0.2436  3 W 2.56-2.60

Computed properties:
V ... 108.3 Å³/f.u.
Crystal system ... monoclinic
Space-group type ... Cm, No. 8
Spin magnetization ... 0.00 μB per formula unit

---

Arrangement Q

Entry from the Alexandria database: a relaxed structure of CaLaW2 (PBE).

a b c (Å): 5.0256 5.0256 5.0256
angles (deg): 60.00 60.00 60.00
With the nearest neighbours (Å) after each atom.
Element x y z (fractional)
Ca: 0.0000 0.0000 0.0000  8 W 3.08
La: 0.5000 0.5000 0.5000  8 W 3.08
W: 0.2500 0.2500 0.2500  4 La 3.08, 4 Ca 3.08
W: 0.7500 0.7500 0.7500  4 La 3.08, 4 Ca 3.08

Computed properties:
V ... 89.8 Å³/f.u.
Crystal system ... cubic
Space-group type ... Fm-3m, No. 225
Spin magnetization ... 0.00 μB per formula unit

---

Arrangement R

Entry from the Alexandria database: a relaxed structure of CaLaW2 (PBE).

a b c (Å): 3.9683 3.9683 6.5649
angles (deg): 90.00 90.00 90.00
With the nearest neighbours (Å) after each atom.
Element x y z (fractional)
Ca: 0.0000 0.0000 0.0000  2 La 3.28, 8 W 3.49
La: 0.0000 0.0000 0.5000  8 W 3.06, 2 Ca 3.28
W: 0.5000 0.5000 0.3158  1 W 2.42
W: 0.5000 0.5000 0.6842  1 W 2.42

Computed properties:
V ... 103.4 Å³/f.u.
Crystal system ... tetragonal
Space-group type ... P4/mmm, No. 123
Spin magnetization ... 0.38 μB per formula unit

---

Which structure is most stable? arrangement P, by 0.447 eV/atom over the runner-up.

---

Arrangement P

Entry from the Alexandria database: a relaxed structure of CaLaW2 (PBE).

a b c (Å): 5.9823 5.9823 2.8480
angles (deg): 90.00 90.00 122.32
With the nearest neighbours (Å) after each atom.
Element x y z (fractional)
Ca: 0.0000 0.0000 0.0000  2 Ca 2.85, 2 La 2.89
La: 0.5000 0.5000 0.0000  2 La 2.85, 2 Ca 2.89
W: 0.0000 0.5000 0.5000  4 W 2.85-2.89
W: 0.5000 0.0000 0.5000  4 W 2.85-2.89

Computed properties:
V ... 86.1 Å³/f.u.
Crystal system ... orthorhombic
Space-group type ... Cmmm, No. 65
Spin magnetization ... 0.00 μB per formula unit

---

Arrangement Q

Entry from the Alexandria database: a relaxed structure of CaLaW2 (PBE).

a b c (Å): 3.3395 3.3395 9.0909
angles (deg): 90.00 90.00 90.00
With the nearest neighbours (Å) after each atom.
Element x y z (fractional)
Ca: 0.0000 0.0000 0.0000  5 W 3.24-3.42, 4 Ca 3.34
La: 0.5000 0.5000 0.3750  5 W 3.27-3.46, 4 La 3.34
W: 0.0000 0.0000 0.6238  4 W 2.65
W: 0.5000 0.5000 0.7560  4 W 2.65

Computed properties:
V ... 101.4 Å³/f.u.
Crystal system ... tetragonal
Space-group type ... P4mm, No. 99
Spin magnetization ... 0.00 μB per formula unit

---

Arrangement R

Entry from the Alexandria database: a relaxed structure of CaLaW2 (PBE).

a b c (Å): 2.8533 5.2885 5.8967
angles (deg): 90.00 95.79 90.00
With the nearest neighbours (Å) after each atom.
Element x y z (fractional)
Ca: 0.0000 0.0000 0.0000  2 Ca 2.85, 2 La 2.95
La: 0.0000 0.0000 0.5000  2 La 2.85, 2 Ca 2.95, 4 W 3.16
W: 0.4511 0.5000 0.7199  3 W 2.64-2.85
W: 0.5489 0.5000 0.2801  3 W 2.64-2.85

Computed properties:
V ... 88.5 Å³/f.u.
Crystal system ... monoclinic
Space-group type ... P2/m, No. 10
Spin magnetization ... 0.00 μB per formula unit

---

Arrangement S

Entry from the Alexandria database: a relaxed structure of CaLaW2 (PBE).

a b c (Å): 11.2546 11.2546 11.2546
angles (deg): 15.32 15.32 15.32
With the nearest neighbours (Å) after each atom.
Element x y z (fractional)
Ca: 0.0000 0.0000 0.0000  6 Ca 3.00, 6 W 3.18
La: 0.5000 0.5000 0.5000  6 La 3.00
W: 0.2534 0.2534 0.2534  6 W 3.00, 3 Ca 3.18
W: 0.7466 0.7466 0.7466  6 W 3.00, 3 Ca 3.18

Computed properties:
V ... 86.7 Å³/f.u.
Crystal system ... trigonal
Space-group type ... R-3m, No. 166
Spin magnetization ... 0.43 μB per formula unit

---

Which structure is most stable? arrangement Q, by 0.515 eV/atom over the runner-up.

---

Arrangement P

Entry from the Alexandria database: a relaxed structure of Ca2LaY2 (PBE).

a b c (Å): 10.0418 10.0418 10.0418
angles (deg): 153.84 153.84 37.33
With the nearest neighbours (Å) after each atom.
Element x y z (fractional)
Ca: 0.0993 0.0993 0.0000  4 Y 3.66, 4 La 3.73, 1 Ca 3.78
Ca: 0.9007 0.9007 0.0000  4 Y 3.66, 4 La 3.73, 1 Ca 3.78
La: 0.5000 0.5000 0.0000  8 Ca 3.73
Y: 0.2500 0.7500 0.5000  4 Y 3.21
Y: 0.7500 0.2500 0.5000  4 Y 3.21

Computed properties:
V ... 196.5 Å³/f.u.
Crystal system ... tetragonal
Space-group type ... I4/mmm, No. 139
Spin magnetization ... 0.00 μB per formula unit

---

Arrangement Q

Entry from the Alexandria database: a relaxed structure of Ca2LaY2 (PBE).

a b c (Å): 9.6250 9.6250 3.9780
angles (deg): 90.00 90.00 90.00
With the nearest neighbours (Å) after each atom.
Element x y z (fractional)
Ca: 0.1706 0.3294 0.0000  6 Y 3.41-3.51
Ca: 0.3294 0.8294 0.0000  6 Y 3.41-3.51
Ca: 0.6706 0.1706 0.0000  6 Y 3.41-3.51
Ca: 0.8294 0.6706 0.0000  6 Y 3.41-3.51
La: 0.0000 0.0000 0.5000  4 Y 3.80, 2 La 3.98, 8 Ca 4.09
La: 0.5000 0.5000 0.5000  4 Y 3.80, 2 La 3.98, 8 Ca 4.09
Y: 0.1264 0.6264 0.5000  6 Ca 3.41-3.51, 1 Y 3.44, 2 La 3.80
Y: 0.3736 0.1264 0.5000  6 Ca 3.41-3.51, 1 Y 3.44, 2 La 3.80
Y: 0.6264 0.8736 0.5000  6 Ca 3.41-3.51, 1 Y 3.44, 2 La 3.80
Y: 0.8736 0.3736 0.5000  6 Ca 3.41-3.51, 1 Y 3.44, 2 La 3.80

Computed properties:
V ... 184.3 Å³/f.u.
Crystal system ... tetragonal
Space-group type ... P4/mbm, No. 127
Spin magnetization ... 0.00 μB per formula unit

---

Arrangement R

Entry from the Alexandria database: a relaxed structure of Ca2LaY2 (PBE).

a b c (Å): 9.6857 9.6857 3.8844
angles (deg): 90.00 90.00 90.00
With the nearest neighbours (Å) after each atom.
Element x y z (fractional)
Ca: 0.1346 0.3654 0.0000  6 Y 3.39-3.49, 1 Ca 3.69, 2 La 3.77
Ca: 0.3654 0.8654 0.0000  6 Y 3.39-3.49, 1 Ca 3.69, 2 La 3.77
Ca: 0.6346 0.1346 0.0000  6 Y 3.39-3.49, 1 Ca 3.69, 2 La 3.77
Ca: 0.8654 0.6346 0.0000  6 Y 3.39-3.49, 1 Ca 3.69, 2 La 3.77
La: 0.0000 0.0000 0.0000  4 Ca 3.77, 2 La 3.88, 8 Y 4.11
La: 0.5000 0.5000 0.0000  4 Ca 3.77, 2 La 3.88, 8 Y 4.11
Y: 0.1630 0.6630 0.5000  6 Ca 3.39-3.49
Y: 0.3370 0.1630 0.5000  6 Ca 3.39-3.49
Y: 0.6630 0.8370 0.5000  6 Ca 3.39-3.49
Y: 0.8370 0.3370 0.5000  6 Ca 3.39-3.49

Computed properties:
V ... 182.2 Å³/f.u.
Crystal system ... tetragonal
Space-group type ... P4/mbm, No. 127
Spin magnetization ... 0.00 μB per formula unit

---

Arrangement S

Entry from the Alexandria database: a relaxed structure of Ca2LaY2 (PBE).

a b c (Å): 9.2709 9.2709 9.2709
angles (deg): 150.45 150.45 42.29
With the nearest neighbours (Å) after each atom.
Element x y z (fractional)
Ca: 0.2500 0.7500 0.5000  4 Ca 3.34, 4 Y 3.64
Ca: 0.7500 0.2500 0.5000  4 Ca 3.34, 4 Y 3.64
La: 0.0000 0.0000 0.0000  8 Y 3.69
Y: 0.4101 0.4101 0.0000  1 Y 3.11
Y: 0.5899 0.5899 0.0000  1 Y 3.11

Computed properties:
V ... 193.4 Å³/f.u.
Crystal system ... tetragonal
Space-group type ... I4/mmm, No. 139
Spin magnetization ... 0.39 μB per formula unit

---

Which structure is most stable? arrangement Q, by 0.037 eV/atom over the runner-up.